# 1
! Dy4AsPbSe2, optimized geometry, DFT GGA-PBE; values from VASP
! Calculated volume (Å³/atom): 26.08
! Raw formation energy (eV per atom): -1.39
&SYSTEM
  ibrav = 0, nat = 8, ntyp = 4
/
ATOMIC_SPECIES
Dy 162.50 Dy.upf
Pb 207.20 Pb.upf
Se 78.96 Se.upf
As 74.92 As.upf
CELL_PARAMETERS angstrom
4.1908 0.0000 0.0000
0.0000 7.2386 -0.1328
0.0000 2.5587 6.8305
ATOMIC_POSITIONS angstrom
Dy 0.0001 7.3411 4.9518
Dy 2.0955 6.0524 1.6805
Dy 4.1909 2.4562 1.7458
Dy 2.0955 3.7449 5.0172
Pb 2.0955 6.1780 6.7641
Se 0.0000 2.5587 6.8305
Se 2.0954 1.2793 3.4152
As 0.0000 4.8986 3.3489

---

# 2
! PmPu2Au, optimized geometry, DFT GGA-PBE; values from VASP
! Calculated formation energy (eV per atom): -0.157
! Calculated volume (Å³/atom): 25.76
! Distance to the lowest polymorph of the same formula (meV per atom): 0
&SYSTEM
  ibrav = 0, nat = 4, ntyp = 3
/
ATOMIC_SPECIES
Pm 145.00 Pm.upf
Pu 244.00 Pu.upf
Au 196.97 Au.upf
CELL_PARAMETERS angstrom
5.3843 0.0000 0.0000
0.0000 4.3747 0.0000
0.0000 0.0000 4.3747
ATOMIC_POSITIONS angstrom
Pm 2.6921 2.1873 2.1873
Pu 0.0000 0.0000 2.1873
Pu 0.0000 2.1873 0.0000
Au 2.6921 0.0000 0.0000

---

- The highest calculated volume belongs to which entry?
  Dy4AsPbSe2